Below is PmNd2ThN4 after structural relaxation, with properties calculated at the PBE-GGA level.

Output
- Raw formation energy: -1.485 eV per atom
- Space group: No. 10
- Fermi-level density of states: 1.80 states/eV/f.u.

Cell lengths 6.3040, 3.6517, 6.3101 Å; angles 90.00, 109.36, 90.00 degrees
Closest atoms and distances in Å follow each position.
Fractional positions:
Pm1 0.0000 0.0000 0.0000  6 N 2.56-2.57
Nd1 0.0000 0.5000 0.5000  6 N 2.63
Nd2 0.5000 0.0000 0.5000  6 N 2.58-2.59
Th1 0.5000 0.5000 0.0000  6 N 2.51-2.53
N1 0.2540 0.5000 0.2422  1 Th 2.51, 2 Pm 2.57, 3 Nd 2.59-2.63
N2 0.2584 0.0000 0.7604  2 Th 2.53, 1 Pm 2.56, 3 Nd 2.58-2.63
N3 0.7416 0.0000 0.2396  2 Th 2.53, 1 Pm 2.56, 3 Nd 2.58-2.63
N4 0.7460 0.5000 0.7578  1 Th 2.51, 2 Pm 2.57, 3 Nd 2.59-2.63

Below is Y7Ho3Er2 after structural relaxation, with properties calculated at the PBE-GGA level.

Output
- Energy relative to the elements: 95 kJ/mol of formula units
- Space group: No. 10
- Fermi-level density of states: 18.70 states/eV/f.u.
- Polymorph energy (0 for the lowest one): 0.00 eV per formula unit

Cell lengths 6.3190, 3.5087, 17.4027 Å; angles 90.00, 96.05, 90.00 degrees
Closest atoms and distances in Å follow each position.
Fractional positions:
Y1 0.0000 0.0000 0.0000  8 Y 3.51-3.59, 4 Ho 3.61
Y2 0.2247 0.5000 0.1691  1 Er 3.44, 8 Y 3.51-3.62, 3 Ho 3.57-3.64
Y3 0.2551 0.5000 0.4981  2 Y 3.09-3.23, 2 Er 3.40
Y4 0.2751 0.0000 0.8335  2 Er 3.46, 7 Y 3.51-3.62, 3 Ho 3.55-3.67
Y5 0.7249 0.0000 0.1665  2 Er 3.46, 7 Y 3.51-3.62, 3 Ho 3.55-3.67
Y6 0.7449 0.5000 0.5019  2 Y 3.09-3.23, 2 Er 3.40
Y7 0.7753 0.5000 0.8309  1 Er 3.44, 8 Y 3.51-3.62, 3 Ho 3.57-3.64
Ho1 0.4500 0.0000 0.3422  2 Ho 3.51, 7 Y 3.56-3.67, 4 Er 3.59-3.65
Ho2 0.5000 0.5000 0.0000  2 Ho 3.51, 10 Y 3.55-3.61
Ho3 0.5500 0.0000 0.6578  2 Ho 3.51, 7 Y 3.56-3.67, 4 Er 3.59-3.65
Er1 0.0601 0.5000 0.6727  5 Y 3.40-3.46, 2 Er 3.51, 4 Ho 3.59-3.65
Er2 0.9399 0.5000 0.3273  5 Y 3.40-3.46, 2 Er 3.51, 4 Ho 3.59-3.65

Below is ErThCuTc after structural relaxation, with properties calculated at the PBE-GGA level.

Output
- Energy relative to the elements: -57 kJ/mol of formula units
- Space group: No. 216
- Fermi-level density of states: 2.14 states/eV/f.u.
- Polymorph energy (0 for the lowest one): 0.03 eV per formula unit

Cell lengths 4.9455, 4.9455, 4.9455 Å; angles 60.00, 60.00, 60.00 degrees
Closest atoms and distances in Å follow each position.
Fractional positions:
Er1 0.0000 0.0000 0.0000  4 Tc 3.03, 4 Cu 3.03
Th1 0.5000 0.5000 0.5000  4 Tc 3.03, 4 Cu 3.03
Cu1 0.7500 0.7500 0.7500  4 Er 3.03, 4 Th 3.03
Tc1 0.2500 0.2500 0.2500  4 Th 3.03, 4 Er 3.03

Below is YLu2Hf after structural relaxation, with properties calculated at the PBE-GGA level.

Output
- Energy relative to the elements: 53 kJ/mol of formula units
- Space group: No. 123
- Fermi-level density of states: 6.00 states/eV/f.u.
- Polymorph energy (0 for the lowest one): 0.00 eV per formula unit

Cell lengths 4.7934, 4.7934, 4.7974 Å; angles 90.00, 90.00, 90.00 degrees
Closest atoms and distances in Å follow each position.
Fractional positions:
Y1 0.0000 0.0000 0.0000  4 Hf 3.39, 8 Lu 3.39
Lu1 0.0000 0.5000 0.5000  4 Lu 3.39, 4 Hf 3.39, 4 Y 3.39
Lu2 0.5000 0.0000 0.5000  4 Lu 3.39, 4 Hf 3.39, 4 Y 3.39
Hf1 0.5000 0.5000 0.0000  4 Y 3.39, 8 Lu 3.39

Below is Fe2HgCl after structural relaxation, with properties calculated at the PBE-GGA level.

Output
- Raw formation energy: 0.461 eV per atom
- Space group: No. 123
- Fermi-level density of states: 2.98 states/eV/f.u.
- Polymorph energy (0 for the lowest one): 1.30 eV per formula unit

Cell lengths 2.9660, 2.9660, 7.3824 Å; angles 90.00, 90.00, 90.00 degrees
Closest atoms and distances in Å follow each position.
Fractional positions:
Fe1 0.0000 0.0000 0.2307  4 Cl 2.70, 4 Hg 2.89, 4 Fe 2.97
Fe2 0.0000 0.0000 0.7693  4 Cl 2.70, 4 Hg 2.89, 4 Fe 2.97
Hg1 0.5000 0.5000 0.5000  8 Fe 2.89, 4 Hg 2.97
Cl1 0.5000 0.5000 0.0000  8 Fe 2.70, 4 Cl 2.97

Below is Be2SbW after structural relaxation, with properties calculated at the PBE-GGA level.

Output
- Raw formation energy: 0.596 eV per atom
- Space group: No. 65
- Fermi-level density of states: 2.80 states/eV/f.u.

Cell lengths 2.8449, 2.8449, 7.8401 Å; angles 90.00, 90.00, 103.04 degrees
Closest atoms and distances in Å follow each position.
Fractional positions:
Be1 0.0000 0.0000 0.2135  2 W 2.44
Be2 0.0000 0.0000 0.7865  2 W 2.44
Sb1 0.5000 0.5000 0.5000  4 Sb 2.84, 8 Be 2.86-3.16
W1 0.5000 0.5000 0.0000  4 Be 2.44

Below is TmPu2F11 after structural relaxation, with properties calculated at the PBE-GGA level.

Output
- Raw formation energy: -3.630 eV per atom
- Space group: No. 72
- Fermi-level density of states: 18.38 states/eV/f.u.

Cell lengths 8.5387, 8.5387, 8.5387 Å; angles 121.05, 106.80, 101.26 degrees
Closest atoms and distances in Å follow each position.
Fractional positions:
Tm1 0.2500 0.2500 0.0000  8 F 2.26-2.27
Tm2 0.7500 0.7500 0.0000  8 F 2.26-2.27
Pu1 0.1813 0.6552 0.8365  6 F 2.11-2.26
Pu2 0.3187 0.1552 0.4740  6 F 2.11-2.26
Pu3 0.6813 0.8448 0.5260  6 F 2.11-2.26
Pu4 0.8187 0.3448 0.1635  6 F 2.11-2.26
F1 0.0000 0.5000 0.5000  2 Pu 2.26, 2 F 2.41
F2 0.0332 0.9443 0.2624  1 Pu 2.20, 1 Tm 2.26
F3 0.0702 0.3517 0.1457  1 Pu 2.19, 1 Tm 2.27
F4 0.1819 0.4443 0.9111  1 Pu 2.20, 1 Tm 2.26
F5 0.2060 0.9245 0.8543  1 Pu 2.19, 1 Tm 2.27
F6 0.2107 0.3692 0.5798  1 Pu 2.11
F7 0.2893 0.8692 0.1585  1 Pu 2.11
F8 0.2940 0.1483 0.7185  1 Pu 2.19, 1 Tm 2.27
F9 0.3181 0.2292 0.2624  1 Pu 2.20, 1 Tm 2.26
F10 0.4298 0.5755 0.2815  1 Pu 2.19, 1 Tm 2.27
F11 0.4668 0.7292 0.9111  1 Pu 2.20, 1 Tm 2.26
F12 0.5000 0.0000 0.5000  2 Pu 2.26, 2 F 2.41
F13 0.5332 0.2708 0.0889  1 Pu 2.20, 1 Tm 2.26
F14 0.5702 0.4245 0.7185  1 Pu 2.19, 1 Tm 2.27
F15 0.6819 0.7708 0.7376  1 Pu 2.20, 1 Tm 2.26
F16 0.7060 0.8517 0.2815  1 Pu 2.19, 1 Tm 2.27
F17 0.7107 0.1308 0.8415  1 Pu 2.11
F18 0.7893 0.6308 0.4202  1 Pu 2.11
F19 0.7940 0.0755 0.1457  1 Pu 2.19, 1 Tm 2.27
F20 0.8181 0.5557 0.0889  1 Pu 2.20, 1 Tm 2.26
F21 0.9298 0.6483 0.8543  1 Pu 2.19, 1 Tm 2.27
F22 0.9668 0.0557 0.7376  1 Pu 2.20, 1 Tm 2.26

Below is Sr2Tl2Ag after structural relaxation, with properties calculated at the PBE-GGA level.

Output
- Energy relative to the elements: -159 kJ/mol of formula units
- Space group: No. 12
- Fermi-level density of states: 3.48 states/eV/f.u.
- Polymorph energy (0 for the lowest one): 0.00 eV per formula unit

Cell lengths 6.5347, 6.5347, 12.7192 Å; angles 110.64, 110.64, 39.89 degrees
Closest atoms and distances in Å follow each position.
Fractional positions:
Sr1 0.0102 0.0102 0.1686  3 Ag 3.37-3.63, 6 Tl 3.51-3.62
Sr2 0.1843 0.1843 0.6136  2 Ag 3.37, 5 Tl 3.41-3.52
Sr3 0.8157 0.8157 0.3864  2 Ag 3.37, 5 Tl 3.41-3.52
Sr4 0.9898 0.9898 0.8314  3 Ag 3.37-3.63, 6 Tl 3.51-3.62
Tl1 0.3316 0.3316 0.9477  3 Ag 2.95-3.13
Tl2 0.4605 0.4605 0.6095  1 Ag 3.02, 1 Tl 3.28
Tl3 0.5395 0.5395 0.3905  1 Ag 3.02, 1 Tl 3.28
Tl4 0.6684 0.6684 0.0523  3 Ag 2.95-3.13
Ag1 0.3116 0.3116 0.1858  4 Tl 2.95-3.13
Ag2 0.6884 0.6884 0.8142  4 Tl 2.95-3.13